[1]
# LaHoGa2Pt2 (PBE-GGA, relaxed)
# DOS(E_F) in states/eV per cell: 3.70
# E_form in eV per atom: -1.067
# Magnetic moment in μB/f.u.: 0.00
# E in eV/cell: -34.04
data_LaHoGa2Pt2
_chemical_formula_sum 'La1 Ho1 Ga2 Pt2'
_cell_length_a 4.502
_cell_length_b 4.502
_cell_length_c 7.254
_cell_angle_alpha 90.00
_cell_angle_beta 90.00
_cell_angle_gamma 120.00
_space_group_name_H-M_alt 'P 1'
_space_group_IT_number 1
loop_
_space_group_symop_operation_xyz
'x,y,z'
loop_
_atom_site_label
_atom_site_fract_x
_atom_site_fract_y
_atom_site_fract_z
La1 0.000 0.000 0.000
Ho1 0.000 0.000 0.500
Ga1 0.333 0.667 0.281
Ga2 0.667 0.333 0.719
Pt1 0.333 0.667 0.720
Pt2 0.667 0.333 0.280



[2]
# LaHoGa2Pt5 (PBE-GGA, relaxed)
# DOS(E_F) in states/eV per cell: 5.02
# E_form in eV per atom: -0.888
# Magnetic moment in μB/f.u.: 0.00
# E in eV/cell: -53.75
data_LaHoGa2Pt5
_chemical_formula_sum 'La1 Ho1 Ga2 Pt5'
_cell_length_a 4.256
_cell_length_b 4.256
_cell_length_c 9.353
_cell_angle_alpha 90.00
_cell_angle_beta 90.00
_cell_angle_gamma 90.00
_space_group_name_H-M_alt 'P 1'
_space_group_IT_number 1
loop_
_space_group_symop_operation_xyz
'x,y,z'
loop_
_atom_site_label
_atom_site_fract_x
_atom_site_fract_y
_atom_site_fract_z
La1 0.000 0.000 0.000
Ho1 0.000 0.000 0.500
Ga1 0.500 0.500 0.370
Ga2 0.500 0.500 0.630
Pt1 0.000 0.500 0.234
Pt2 0.000 0.500 0.766
Pt3 0.500 0.000 0.234
Pt4 0.500 0.000 0.766
Pt5 0.500 0.500 0.000



[3]
# La2HoGa3Rh4 (PBE-GGA, relaxed)
# DOS(E_F) in states/eV per cell: 7.20
# E_form in eV per atom: -0.819
# Magnetic moment in μB/f.u.: 0.00
# E in eV/cell: -61.11
data_La2HoGa3Rh4
_chemical_formula_sum 'La2 Ho1 Ga3 Rh4'
_cell_length_a 4.319
_cell_length_b 4.319
_cell_length_c 10.962
_cell_angle_alpha 90.00
_cell_angle_beta 90.00
_cell_angle_gamma 90.00
_space_group_name_H-M_alt 'P 1'
_space_group_IT_number 1
loop_
_space_group_symop_operation_xyz
'x,y,z'
loop_
_atom_site_label
_atom_site_fract_x
_atom_site_fract_y
_atom_site_fract_z
La1 0.000 0.500 0.223
La2 0.500 0.000 0.777
Ho1 0.000 0.000 0.500
Ga1 0.000 0.500 0.884
Ga2 0.500 0.000 0.116
Ga3 0.500 0.500 0.500
Rh1 0.000 0.000 0.000
Rh2 0.000 0.500 0.652
Rh3 0.500 0.000 0.348
Rh4 0.500 0.500 0.000



[4]
# LaSmHoGa (PBE-GGA, relaxed)
# DOS(E_F) in states/eV per cell: 7.14
# E_form in eV per atom: -0.111
# Magnetic moment in μB/f.u.: 0.50
# E in eV/cell: -17.70
data_LaSmHoGa
_chemical_formula_sum 'La1 Sm1 Ho1 Ga1'
_cell_length_a 5.448
_cell_length_b 5.448
_cell_length_c 5.448
_cell_angle_alpha 60.00
_cell_angle_beta 60.00
_cell_angle_gamma 60.00
_space_group_name_H-M_alt 'P 1'
_space_group_IT_number 1
loop_
_space_group_symop_operation_xyz
'x,y,z'
loop_
_atom_site_label
_atom_site_fract_x
_atom_site_fract_y
_atom_site_fract_z
La1 0.000 0.000 0.000
Sm1 0.500 0.500 0.500
Ho1 0.250 0.250 0.250
Ga1 0.750 0.750 0.750



[5]
# LaHoGaSn (PBE-GGA, relaxed)
# DOS(E_F) in states/eV per cell: 2.28
# E_form in eV per atom: -0.575
# Magnetic moment in μB/f.u.: 0.00
# E in eV/cell: -18.83
data_LaHoGaSn
_chemical_formula_sum 'La1 Ho1 Ga1 Sn1'
_cell_length_a 5.341
_cell_length_b 5.341
_cell_length_c 5.341
_cell_angle_alpha 60.00
_cell_angle_beta 60.00
_cell_angle_gamma 60.00
_space_group_name_H-M_alt 'P 1'
_space_group_IT_number 1
loop_
_space_group_symop_operation_xyz
'x,y,z'
loop_
_atom_site_label
_atom_site_fract_x
_atom_site_fract_y
_atom_site_fract_z
La1 0.000 0.000 0.000
Ho1 0.500 0.500 0.500
Ga1 0.750 0.750 0.750
Sn1 0.250 0.250 0.250



[6]
# LaHoTmGa (PBE-GGA, relaxed)
# DOS(E_F) in states/eV per cell: 6.36
# E_form in eV per atom: -0.115
# Magnetic moment in μB/f.u.: 0.72
# E in eV/cell: -17.46
data_LaHoTmGa
_chemical_formula_sum 'La1 Ho1 Tm1 Ga1'
_cell_length_a 5.388
_cell_length_b 5.388
_cell_length_c 5.388
_cell_angle_alpha 60.00
_cell_angle_beta 60.00
_cell_angle_gamma 60.00
_space_group_name_H-M_alt 'P 1'
_space_group_IT_number 1
loop_
_space_group_symop_operation_xyz
'x,y,z'
loop_
_atom_site_label
_atom_site_fract_x
_atom_site_fract_y
_atom_site_fract_z
La1 0.000 0.000 0.000
Ho1 0.500 0.500 0.500
Tm1 0.250 0.250 0.250
Ga1 0.750 0.750 0.750



[7]
# LaHoZn2Ga2 (PBE-GGA, relaxed)
# DOS(E_F) in states/eV per cell: 3.62
# E_form in eV per atom: -0.568
# Magnetic moment in μB/f.u.: 0.00
# E in eV/cell: -21.52
data_LaHoZn2Ga2
_chemical_formula_sum 'La1 Ho1 Zn2 Ga2'
_cell_length_a 4.464
_cell_length_b 4.464
_cell_length_c 7.543
_cell_angle_alpha 90.00
_cell_angle_beta 90.00
_cell_angle_gamma 120.00
_space_group_name_H-M_alt 'P 1'
_space_group_IT_number 1
loop_
_space_group_symop_operation_xyz
'x,y,z'
loop_
_atom_site_label
_atom_site_fract_x
_atom_site_fract_y
_atom_site_fract_z
La1 0.000 0.000 0.000
Ho1 0.000 0.000 0.500
Zn1 0.333 0.667 0.287
Zn2 0.667 0.333 0.713
Ga1 0.333 0.667 0.726
Ga2 0.667 0.333 0.274



[8]
# LaHoZnGa (PBE-GGA, relaxed)
# DOS(E_F) in states/eV per cell: 4.05
# E_form in eV per atom: -0.453
# Magnetic moment in μB/f.u.: 0.00
# E in eV/cell: -15.62
data_LaHoZnGa
_chemical_formula_sum 'La1 Ho1 Zn1 Ga1'
_cell_length_a 5.192
_cell_length_b 5.192
_cell_length_c 5.192
_cell_angle_alpha 60.00
_cell_angle_beta 60.00
_cell_angle_gamma 60.00
_space_group_name_H-M_alt 'P 1'
_space_group_IT_number 1
loop_
_space_group_symop_operation_xyz
'x,y,z'
loop_
_atom_site_label
_atom_site_fract_x
_atom_site_fract_y
_atom_site_fract_z
La1 0.000 0.000 0.000
Ho1 0.500 0.500 0.500
Zn1 0.750 0.750 0.750
Ga1 0.250 0.250 0.250